# TbSm2MgTe5 PBE-GGA relaxed
data_TbSm2MgTe5
_space_group_name_H-M_alt 'P 1'
_space_group_IT_number 1
_space_group_name_Hall 'P 1'
_cell_length_a 4.331
_cell_length_b 9.693
_cell_length_c 13.544
_cell_angle_alpha 90.00
_cell_angle_beta 90.00
_cell_angle_gamma 102.91
loop_
_atom_site_label
_atom_site_type_symbol
_atom_site_fract_x
_atom_site_fract_y
_atom_site_fract_z
_atom_site_occupancy
Tb1 Tb 0.796 0.592 0.511 1
Tb2 Tb 0.204 0.408 0.011 1
Sm1 Sm 0.865 0.731 0.802 1
Sm2 Sm 0.112 0.224 0.683 1
Sm3 Sm 0.135 0.269 0.302 1
Sm4 Sm 0.888 0.776 0.183 1
Mg1 Mg 0.553 0.105 0.957 1
Mg2 Mg 0.447 0.895 0.457 1
Te1 Te 0.365 0.731 0.000 1
Te2 Te 0.687 0.375 0.846 1
Te3 Te 0.495 0.990 0.776 1
Te4 Te 0.283 0.565 0.672 1
Te5 Te 0.951 0.902 0.577 1
Te6 Te 0.635 0.269 0.500 1
Te7 Te 0.313 0.625 0.346 1
Te8 Te 0.505 0.010 0.276 1
Te9 Te 0.717 0.435 0.172 1
Te10 Te 0.049 0.098 0.077 1
# DOS at the Fermi energy ... 2.3 states/eV/f.u.
# E_form (uncorrected) ... -1.21 eV/atom
# Calculated total energy ... -4.697 eV per atom


# Tb2Sm2ThMg5 PBE-GGA relaxed
data_Tb2Sm2ThMg5
_space_group_name_H-M_alt 'P 1'
_space_group_IT_number 1
_space_group_name_Hall 'P 1'
_cell_length_a 5.191
_cell_length_b 10.571
_cell_length_c 10.571
_cell_angle_alpha 90.00
_cell_angle_beta 90.00
_cell_angle_gamma 90.00
loop_
_atom_site_label
_atom_site_type_symbol
_atom_site_fract_x
_atom_site_fract_y
_atom_site_fract_z
_atom_site_occupancy
Tb1 Tb 0.000 0.121 0.621 1
Tb2 Tb 0.000 0.879 0.379 1
Tb3 Tb 0.000 0.621 0.879 1
Tb4 Tb 0.000 0.379 0.121 1
Sm1 Sm 0.000 0.677 0.177 1
Sm2 Sm 0.000 0.323 0.823 1
Sm3 Sm 0.000 0.177 0.323 1
Sm4 Sm 0.000 0.823 0.677 1
Th1 Th 0.000 0.000 0.000 1
Th2 Th 0.000 0.500 0.500 1
Mg1 Mg 0.500 0.197 0.075 1
Mg2 Mg 0.500 0.803 0.925 1
Mg3 Mg 0.500 0.075 0.803 1
Mg4 Mg 0.500 0.697 0.425 1
Mg5 Mg 0.500 0.925 0.197 1
Mg6 Mg 0.500 0.303 0.575 1
Mg7 Mg 0.500 0.575 0.697 1
Mg8 Mg 0.500 0.425 0.303 1
Mg9 Mg 0.500 0.500 0.000 1
Mg10 Mg 0.500 0.000 0.500 1
# DOS at the Fermi energy ... 7.4 states/eV/f.u.
# Formation enthalpy at 0 K ... 0.10 eV per atom
# Calculated total energy ... -3.311 eV per atom


# TbSmMgTl PBE-GGA relaxed
data_TbSmMgTl
_space_group_name_H-M_alt 'P 1'
_space_group_IT_number 1
_space_group_name_Hall 'P 1'
_cell_length_a 5.399
_cell_length_b 5.399
_cell_length_c 5.399
_cell_angle_alpha 60.00
_cell_angle_beta 60.00
_cell_angle_gamma 60.00
loop_
_atom_site_label
_atom_site_type_symbol
_atom_site_fract_x
_atom_site_fract_y
_atom_site_fract_z
_atom_site_occupancy
Tl1 Tl 0.000 0.000 0.000 1
Tb1 Tb 0.250 0.250 0.250 1
Mg1 Mg 0.500 0.500 0.500 1
Sm1 Sm 0.750 0.750 0.750 1
# DOS at the Fermi energy ... 3.5 states/eV/f.u.
# Formation enthalpy at 0 K ... -0.25 eV per atom
# Calculated total energy ... -3.577 eV per atom